Entry 1:
A plane-wave DFT calculation with GGA-PBE was carried out for a relaxed structure of ZnAsIO2.

Properties
For the energy above the most stable polymorph in this dataset, the calculation gives 0.528 eV/atom. The theoretical density is 5.29 Mg/m³. Its calculated total energy is -3.17 eV/atom. The calculation puts the energy relative to the elements, uncorrected at 0.306 eV per atom.

Cell lengths 3.9547, 3.9547, 6.0088 Å; angles 90.00, 90.00, 90.00 degrees
Closest atoms and distances in Å follow each position.
Positions (direct):
O (0.5000, 0.0000, 0.0000)  2 Zn 1.98
O (0.0000, 0.5000, 0.0000)  2 Zn 1.98
Zn (0.0000, 0.0000, 0.0000)  4 O 1.98
As (0.5000, 0.5000, 0.5000)  4 I 2.80
I (0.0000, 0.0000, 0.5000)  4 As 2.80, 2 Zn 3.00


Entry 2:
A plane-wave DFT calculation with GGA-PBE was carried out for a relaxed structure of ZrAsIO2.

Properties
The theoretical density is 4.98 Mg/m³. Its calculated total energy is -6.09 eV/atom. The calculation puts the energy relative to the elements, uncorrected at -1.155 eV per atom.

Cell lengths 4.1364, 4.1364, 6.3358 Å; angles 90.00, 90.00, 90.00 degrees
Closest atoms and distances in Å follow each position.
Positions (direct):
O (0.0000, 0.5000, 0.0000)  2 Zr 2.07
O (0.5000, 0.0000, 0.0000)  2 Zr 2.07
Zr (0.0000, 0.0000, 0.0000)  4 O 2.07
As (0.5000, 0.5000, 0.5000)  4 I 2.92
I (0.0000, 0.0000, 0.5000)  4 As 2.92, 2 Zr 3.17


Entry 3:
A plane-wave DFT calculation with GGA-PBE was carried out for a relaxed structure of ZrAsI2O.

Properties
For the energy above the most stable polymorph in this dataset, the calculation gives 0.700 eV/atom. The theoretical density is 5.68 Mg/m³. Its calculated total energy is -4.20 eV/atom. The calculation puts the energy relative to the elements, uncorrected at 0.056 eV per atom.

Cell lengths 5.8358, 5.8358, 3.7442 Å; angles 90.00, 90.00, 90.00 degrees
Closest atoms and distances in Å follow each position.
Positions (direct):
As (0.0000, 0.0000, 0.0000)  2 O 1.87
Zr (0.5000, 0.5000, 0.5000)  8 I 3.47, 2 Zr 3.74
I (0.0000, 0.5000, 0.0000)  2 As 2.92
I (0.5000, 0.0000, 0.0000)  2 As 2.92
O (0.0000, 0.0000, 0.5000)  2 As 1.87


Entry 4:
A plane-wave DFT calculation with GGA-PBE was carried out for a relaxed structure of ZrAsIO2.

Properties
The theoretical density is 5.84 Mg/m³. Its calculated total energy is -4.95 eV/atom. The calculation puts the energy relative to the elements, uncorrected at -0.017 eV per atom.

Cell lengths 4.0798, 4.0798, 5.5514 Å; angles 90.00, 90.00, 90.00 degrees
Closest atoms and distances in Å follow each position.
Positions (direct):
Zr (0.5000, 0.5000, 0.5000)  4 I 2.88
As (0.0000, 0.0000, 0.0000)  4 O 2.04
O (0.0000, 0.5000, 0.0000)  2 As 2.04
O (0.5000, 0.0000, 0.0000)  2 As 2.04
I (0.0000, 0.0000, 0.5000)  2 As 2.78, 4 Zr 2.88


Entry 5:
A plane-wave DFT calculation with GGA-PBE was carried out for a relaxed structure of ZrAsI2O.

Properties
For the energy above the most stable polymorph in this dataset, the calculation gives 0.000 eV/atom. The theoretical density is 5.28 Mg/m³. Its calculated total energy is -4.90 eV/atom. The calculation puts the energy relative to the elements, uncorrected at -0.644 eV per atom.

Cell lengths 5.8668, 5.8668, 3.9825 Å; angles 90.00, 90.00, 90.00 degrees
Closest atoms and distances in Å follow each position.
Positions (direct):
Zr (0.0000, 0.0000, 0.0000)  2 O 1.99
O (0.0000, 0.0000, 0.5000)  2 Zr 1.99
I (0.5000, 0.0000, 0.0000)  2 Zr 2.93
I (0.0000, 0.5000, 0.0000)  2 Zr 2.93
As (0.5000, 0.5000, 0.5000)  8 I 3.55


Entry 6:
A plane-wave DFT calculation with GGA-PBE was carried out for a relaxed structure of As2OsI.

Properties
For the energy above the most stable polymorph in this dataset, the calculation gives 0.780 eV/atom. The theoretical density is 10.16 Mg/m³. Its calculated total energy is -4.35 eV/atom. The calculation puts the energy relative to the elements, uncorrected at 1.172 eV per atom.

Cell lengths 4.7613, 4.7613, 4.7613 Å; angles 60.00, 60.00, 60.00 degrees
Closest atoms and distances in Å follow each position.
Positions (direct):
Os (0.5000, 0.5000, 0.5000)  8 As 2.92
As (0.7500, 0.7500, 0.7500)  4 Os 2.92, 4 I 2.92
As (0.2500, 0.2500, 0.2500)  4 Os 2.92, 4 I 2.92
I (0.0000, 0.0000, 0.0000)  8 As 2.92


Q: Which value of calculated total energy does entry 2 give?
A: -6.09 eV/atom


Q: Which formula does entry 4 have?
A: ZrAsIO2


Q: The highest energy relative to the elements, uncorrected belongs to which entry?
A: As2OsI